An optimized crystal structure of TiRhS2. Source: Alexandria, functional PBE-GGA.

Calculated values
Total magnetization   0.0 μB per cell
Uncorrected formation energy   -0.79 eV per atom
Space group   R3m (160)
VASP energy   -6.6626 eV per atom
E above lowest polymorph   0 meV/atom

abc: 6.534 6.534 6.534
angles: 29.80 29.80 29.80
Element x y z (fractional)
Ti: 0.000 0.000 0.000
Rh: 0.152 0.152 0.152
S: 0.583 0.583 0.583
S: 0.746 0.746 0.746